A:
VASP calculation (GGA-PBE) on ZnCoBr2 after structural relaxation.

Results
Density of states at the Fermi level = 4.5 states/eV/f.u.
Crystal system = monoclinic
Space-group type = Cm

abc: 4.557 4.557 7.497
angles: 72.09 72.09 46.87
Each line ends with the local moment (μB).
Fractional coordinates of all 4 atoms:
Br  0.867  0.867  0.631  0.06
Br  0.005  0.005  0.127  0.03
Co  0.446  0.446  0.399  1.27
Zn  0.182  0.182  0.344  -0.07

B:
VASP calculation (GGA-PBE) on ZnCoBr2 after structural relaxation.

Results
Density of states at the Fermi level = 2.0 states/eV/f.u.
Crystal system = orthorhombic
Space-group type = Pmmm

abc: 3.915 6.781 5.494
angles: 35.86 90.00 90.00
Each line ends with the local moment (μB).
Fractional coordinates of all 4 atoms:
Br  0.500  0.500  0.000  0.02
Br  0.000  0.000  0.000  0.04
Co  0.500  0.500  0.500  1.87
Zn  0.000  0.000  0.500  -0.01

Quick one: least stable of them? B